Density functional theory data (PBE with a Hubbard U) for a relaxed structure of Li2CoCuO4.

Unit cell a=4.097 b=5.075 c=7.681 alpha=91.07 beta=105.39 gamma=113.75
Space group P1 (No. 1)
Symmetry-distinct sites (fractional):
1 Li 0.000 0.000 0.000 [1 per cell]
2 Li 0.122 0.871 0.374 [1 per cell]
3 Li 0.496 0.494 0.499 [1 per cell]
4 Li 0.624 0.372 0.876 [1 per cell]
5 Co 0.374 0.626 0.124 [1 per cell]
6 Co 0.872 0.118 0.625 [1 per cell]
7 Cu 0.249 0.745 0.751 [1 per cell]
8 Cu 0.748 0.248 0.248 [1 per cell]
9 O 0.144 0.409 0.877 [1 per cell]
10 O 0.259 0.280 0.238 [1 per cell]
11 O 0.363 0.091 0.634 [1 per cell]
12 O 0.486 0.967 0.006 [1 per cell]
13 O 0.623 0.892 0.353 [1 per cell]
14 O 0.759 0.777 0.740 [1 per cell]
15 O 0.865 0.596 0.135 [1 per cell]
16 O 0.991 0.467 0.513 [1 per cell]

Values from the calculation:
Polymorph energy (0 for the lowest one) in meV per atom: 24
Total magnetization in μB/cell: 3.68


Density functional theory data (PBE with a Hubbard U) for a relaxed structure of Li5Co2Cu3O10.

Unit cell a=5.000 b=5.311 c=7.551 alpha=104.61 beta=102.94 gamma=104.79
Space group P-1 (No. 2)
Symmetry-distinct sites (fractional):
1 Li 0.000 0.000 0.000 [1 per cell]
2 Li 0.101 0.214 0.710 [2 per cell]
3 Li 0.296 0.599 0.103 [2 per cell]
4 Co 0.396 0.829 0.808 [2 per cell]
5 Cu 0.197 0.387 0.398 [2 per cell]
6 Cu 0.500 0.000 0.500 [1 per cell]
7 O 0.056 0.622 0.836 [2 per cell]
8 O 0.152 0.834 0.573 [2 per cell]
9 O 0.292 0.975 0.252 [2 per cell]
10 O 0.369 0.164 0.953 [2 per cell]
11 O 0.441 0.483 0.664 [2 per cell]

Values from the calculation:
Energy in eV per cell: -105.27
Total magnetization in μB/cell: 2.00


Density functional theory data (PBE with a Hubbard U) for a relaxed structure of Li2CoCuO4.

Unit cell a=5.018 b=5.032 c=5.948 alpha=90.15 beta=90.07 gamma=107.53
Space group P1 (No. 1)
Symmetry-distinct sites (fractional):
1 Li 0.000 0.000 0.000 [1 per cell]
2 Li 0.001 0.500 0.252 [1 per cell]
3 Li 0.484 0.989 0.752 [1 per cell]
4 Li 0.485 0.490 0.499 [1 per cell]
5 Co 0.502 0.494 0.000 [1 per cell]
6 Co 0.981 0.993 0.504 [1 per cell]
7 Cu 0.505 0.993 0.249 [1 per cell]
8 Cu 0.982 0.498 0.750 [1 per cell]
9 O 0.197 0.740 0.531 [1 per cell]
10 O 0.199 0.247 0.725 [1 per cell]
11 O 0.289 0.749 0.030 [1 per cell]
12 O 0.290 0.246 0.222 [1 per cell]
13 O 0.735 0.211 0.473 [1 per cell]
14 O 0.737 0.717 0.773 [1 per cell]
15 O 0.750 0.774 0.273 [1 per cell]
16 O 0.753 0.280 0.972 [1 per cell]

Values from the calculation:
Polymorph energy (0 for the lowest one) in meV per atom: 1
Total magnetization in μB/cell: 4.05


Density functional theory data (PBE with a Hubbard U) for a relaxed structure of Li2CoCuO4.

Unit cell a=4.062 b=4.062 c=8.409 alpha=90.00 beta=90.00 gamma=90.00
Space group I-4m2 (No. 119)
Symmetry-distinct sites (fractional):
1 Li 0.000 0.000 0.000 [2 per cell]
2 Li 0.000 0.500 0.250 [2 per cell]
3 Co 0.000 0.000 0.500 [2 per cell]
4 Cu 0.000 0.500 0.750 [2 per cell]
5 O 0.000 0.000 0.271 [4 per cell]
6 O 0.000 0.500 0.519 [4 per cell]

Values from the calculation:
Polymorph energy (0 for the lowest one) in meV per atom: 35
Total magnetization in μB/cell: 4.22


Density functional theory data (PBE with a Hubbard U) for a relaxed structure of LiCo2CuO6.

Unit cell a=12.706 b=2.851 c=5.913 alpha=90.00 beta=104.44 gamma=90.00
Space group C2/m (No. 12)
Symmetry-distinct sites (fractional):
1 Li 0.000 0.000 0.000 [2 per cell]
2 Co 0.172 0.500 0.828 [4 per cell]
3 Cu 0.000 0.000 0.500 [2 per cell]
4 O 0.020 0.500 0.745 [4 per cell]
5 O 0.164 0.000 0.621 [4 per cell]
6 O 0.175 0.000 0.046 [4 per cell]

Values from the calculation:
Polymorph energy (0 for the lowest one) in meV per atom: 5
Total magnetization in μB/cell: 7.82


Density functional theory data (PBE with a Hubbard U) for a relaxed structure of Li2CoCuO4.

Unit cell a=5.739 b=5.827 c=8.214 alpha=90.00 beta=90.00 gamma=90.00
Space group Imma (No. 74)
Symmetry-distinct sites (fractional):
1 Li 0.000 0.000 0.000 [4 per cell]
2 Li 0.250 0.250 0.250 [4 per cell]
3 Co 0.250 0.250 0.750 [4 per cell]
4 Cu 0.000 0.000 0.500 [4 per cell]
5 O 0.000 0.025 0.746 [8 per cell]
6 O 0.241 0.250 0.514 [8 per cell]

Values from the calculation:
Polymorph energy (0 for the lowest one) in meV per atom: 0
Total magnetization in μB/cell: 7.82